Ba2TcPb | PBE-GGA | optimized geometry

VASP energy: -3.9703 eV per atom
SG: No. 216

a = 5.5951 Å, b = 5.5951 Å, c = 5.5951 Å
α = 120.00°, β = 120.00°, γ = 89.99°
With the nearest neighbours (Å) after each atom.
Element x y z (fractional)
1 Tc 0.7500 0.2500 0.5000  4 Ba 3.43, 4 Pb 3.43
2 Ba 0.2500 0.7500 0.5000  4 Ba 3.43, 4 Pb 3.43
3 Ba 0.0000 0.0000 0.0000  4 Ba 3.43, 4 Tc 3.43
4 Pb 0.5000 0.5000 0.0000  4 Tc 3.43, 4 Ba 3.43